A relaxed TiCu2Si crystal, computed with PBE.

a = 3.954 Å, b = 3.672 Å, c = 3.672 Å
α = 90.00°, β = 90.00°, γ = 90.00°
Fractional coordinates of all 4 atoms:
Cu (0.000, 0.500, 0.000)
Cu (0.000, 0.000, 0.500)
Ti (0.500, 0.500, 0.500)
Si (0.500, 0.000, 0.000)

Values from the calculation:
N(E_F): 2.88 states/eV/cell
M_tot: 0.00 μB per formula unit
Crystal system: tetragonal
Calculated total energy: -5.67 eV per atom
Formation energy from raw total energies: -0.29 eV per atom